No. 1
A plane-wave DFT calculation with PBE was carried out for a relaxed LiNbW2 crystal.

Lattice parameters (Å, degrees): 4.4753 4.4753 4.4753 60.00 60.00 60.00
Last column: nearest neighbours and their distance in Å.
Atoms (fractional coordinates):
Li1 0.0000 0.0000 0.0000  4 W 2.74, 4 Nb 2.74
Nb1 0.2500 0.2500 0.2500  4 W 2.74, 4 Li 2.74
W1 0.5000 0.5000 0.5000  4 W 2.74, 4 Nb 2.74
W2 0.7500 0.7500 0.7500  4 W 2.74, 4 Li 2.74

Calculated values
density: 12.2 g/cm3
crystal system: cubic
V: 63.38 Å³/f.u.
total magnetization: 0.00 μB/cell
calculated total energy: -36.5 eV for the cell shown
space group: No. 216



No. 2
A plane-wave DFT calculation with PBE was carried out for a relaxed BaPrAuSe3 crystal.

Lattice parameters (Å, degrees): 8.4616 4.2811 10.1567 90.00 106.53 90.00
Last column: nearest neighbours and their distance in Å.
Atoms (fractional coordinates):
Ba1 0.2360 0.2500 0.2817  6 Se 3.28-3.32
Ba2 0.7640 0.7500 0.7183  6 Se 3.28-3.32
Pr1 0.3083 0.7500 0.8394  6 Se 2.98-3.01
Pr2 0.6917 0.2500 0.1606  6 Se 2.98-3.01
Au1 0.1005 0.2500 0.5970  3 Se 2.65-2.73
Au2 0.8995 0.7500 0.4030  3 Se 2.65-2.73
Se1 0.0656 0.2500 0.8484  1 Au 2.65
Se2 0.2689 0.7500 0.5386  3 Au 2.73-3.04, 1 Pr 2.98
Se3 0.4379 0.7500 0.1457  3 Pr 2.99-3.01, 2 Ba 3.28
Se4 0.5621 0.2500 0.8543  3 Pr 2.99-3.01, 2 Ba 3.28
Se5 0.7311 0.2500 0.4614  3 Au 2.73-3.04, 1 Pr 2.98
Se6 0.9344 0.7500 0.1516  1 Au 2.65

Calculated values
density: 6.7 g/cm3
crystal system: monoclinic
V: 176.36 Å³/f.u.
total magnetization: 0.00 μB/cell
calculated total energy: -58.7 eV for the cell shown
space group: No. 11



No. 3
A plane-wave DFT calculation with PBE was carried out for a relaxed Nd5Co2 crystal.

Lattice parameters (Å, degrees): 8.9153 8.9153 7.0815 95.93 95.93 42.58
Last column: nearest neighbours and their distance in Å.
Atoms (fractional coordinates):
Nd1 0.0674 0.9326 0.7500  4 Co 2.91-2.93
Nd2 0.1443 0.2828 0.3192  2 Co 2.76-2.91
Nd3 0.2828 0.1443 0.8192  2 Co 2.76-2.91
Nd4 0.3021 0.5082 0.0873  2 Co 2.74-2.81
Nd5 0.4918 0.6979 0.4127  2 Co 2.74-2.81
Nd6 0.5082 0.3021 0.5873  2 Co 2.74-2.81
Nd7 0.6979 0.4918 0.9127  2 Co 2.74-2.81
Nd8 0.7172 0.8557 0.1808  2 Co 2.76-2.91
Nd9 0.8557 0.7172 0.6808  2 Co 2.76-2.91
Nd10 0.9326 0.0674 0.2500  4 Co 2.91-2.93
Co1 0.0956 0.6836 0.4267  6 Nd 2.74-2.93
Co2 0.3164 0.9044 0.0733  6 Nd 2.74-2.93
Co3 0.6836 0.0956 0.9267  6 Nd 2.74-2.93
Co4 0.9044 0.3164 0.5733  6 Nd 2.74-2.93

Calculated values
density: 7.4 g/cm3
crystal system: monoclinic
energy of formation from the pure elements: -0.07 eV per atom
V: 189.25 Å³/f.u.
total magnetization: 0.01 μB/cell
space group: No. 15



Repeat the second record exactly.
A plane-wave DFT calculation with PBE was carried out for a relaxed BaPrAuSe3 crystal.

Lattice parameters (Å, degrees): 8.4616 4.2811 10.1567 90.00 106.53 90.00
Last column: nearest neighbours and their distance in Å.
Atoms (fractional coordinates):
Ba1 0.2360 0.2500 0.2817  6 Se 3.28-3.32
Ba2 0.7640 0.7500 0.7183  6 Se 3.28-3.32
Pr1 0.3083 0.7500 0.8394  6 Se 2.98-3.01
Pr2 0.6917 0.2500 0.1606  6 Se 2.98-3.01
Au1 0.1005 0.2500 0.5970  3 Se 2.65-2.73
Au2 0.8995 0.7500 0.4030  3 Se 2.65-2.73
Se1 0.0656 0.2500 0.8484  1 Au 2.65
Se2 0.2689 0.7500 0.5386  3 Au 2.73-3.04, 1 Pr 2.98
Se3 0.4379 0.7500 0.1457  3 Pr 2.99-3.01, 2 Ba 3.28
Se4 0.5621 0.2500 0.8543  3 Pr 2.99-3.01, 2 Ba 3.28
Se5 0.7311 0.2500 0.4614  3 Au 2.73-3.04, 1 Pr 2.98
Se6 0.9344 0.7500 0.1516  1 Au 2.65

Calculated values
density: 6.7 g/cm3
crystal system: monoclinic
V: 176.36 Å³/f.u.
total magnetization: 0.00 μB/cell
calculated total energy: -58.7 eV for the cell shown
space group: No. 11